(1)
A relaxed structure of In2BiSb. Source: the Alexandria database, functional PBE-GGA.

## Properties
Energy   -3.417 eV/atom
Energy relative to the lowest polymorph listed for this composition   0.3 kJ/mol of atoms
Total magnetization   0.00 μB per formula unit
Raw formation energy   -0.05 eV per atom

a = 4.7638 Å, b = 4.7638 Å, c = 6.7341 Å
α = 90.00°, β = 90.00°, γ = 90.00°
Space group P-4m2 (No. 115)
Asymmetric unit:
In1 0.0000 0.5000 0.2430 x2
Bi1 0.5000 0.5000 0.5000 x1
Sb1 0.0000 0.0000 0.0000 x1

=====

(2)
A relaxed structure of In2BiSb2. Source: the Alexandria database, functional PBE-GGA.

## Properties
Energy   -3.440 eV/atom
Energy relative to the lowest polymorph listed for this composition   0.0 kJ/mol of atoms
Total magnetization   0.00 μB per formula unit
Raw formation energy   0.08 eV per atom

a = 8.5832 Å, b = 8.5832 Å, c = 4.0011 Å
α = 90.00°, β = 90.00°, γ = 90.00°
Space group P4/mbm (No. 127)
Asymmetric unit:
In1 0.1438 0.3562 0.0000 x4
Bi1 0.0000 0.0000 0.5000 x2
Sb1 0.1575 0.6575 0.5000 x4

=====

(3)
A relaxed structure of InBi2Sb2. Source: the Alexandria database, functional PBE-GGA.

## Properties
Energy   -3.592 eV/atom
Energy relative to the lowest polymorph listed for this composition   2.9 kJ/mol of atoms
Total magnetization   0.00 μB per formula unit
Raw formation energy   0.16 eV per atom

a = 8.6974 Å, b = 8.6974 Å, c = 4.1502 Å
α = 90.00°, β = 90.00°, γ = 90.00°
Space group P4/mbm (No. 127)
Asymmetric unit:
In1 0.0000 0.0000 0.0000 x2
Bi1 0.1509 0.3491 0.0000 x4
Sb1 0.1534 0.6534 0.5000 x4

=====

(4)
A relaxed structure of In14BiSb. Source: the Alexandria database, functional PBE-GGA.

## Properties
Energy   -2.872 eV/atom
Total magnetization   0.00 μB per formula unit
Raw formation energy   0.02 eV per atom

a = 10.9769 Å, b = 6.8708 Å, c = 11.7919 Å
α = 90.00°, β = 90.00°, γ = 90.00°
Space group Amm2 (No. 38)
Asymmetric unit:
In1 0.0000 0.0000 0.0000 x2
In2 0.0000 0.0000 0.4970 x2
In3 0.0000 0.2496 0.2477 x4
In4 0.2458 0.0000 0.6629 x4
In5 0.2478 0.2496 0.4156 x8
In6 0.2517 0.0000 0.1663 x4
In7 0.5000 0.2441 0.0811 x4
Bi1 0.5000 0.0000 0.8250 x2
Sb1 0.5000 0.0000 0.3424 x2

=====

Q: Look up the total magnetization of the third one.
A: 0.00 μB per formula unit